First-principles (PBE) data for a geometry-optimized MgPb2Au structure, as listed in Alexandria.

size of the total moment	0.00	Bohr magnetons per cell
symmetry	Immm (71)
energy of formation from the pure elements	-0.1258	eV per atom

Geometry as POSCAR:
```
MgPb2Au
1.0
7.4038 0.0544 0.0190
5.1949 5.2756 -0.0190
-6.0518 -3.2501 2.7626
Au Mg Pb
1 1 2
Direct
0.7500 0.2500 0.5000
0.2500 0.7500 0.5000
0.9331 0.9331 0.0000
0.5669 0.5669 0.0000
```

=====

First-principles (PBE) data for a geometry-optimized GdPuCuNi structure, as listed in Alexandria.

size of the total moment	12.70	Bohr magnetons per cell
symmetry	F-43m (216)
energy of formation from the pure elements	-0.0732	eV per atom

Geometry as POSCAR:
```
GdPuCuNi
1.0
4.8644 0.0000 0.0000
2.4322 4.2127 0.0000
2.4322 1.4042 3.9718
Cu Gd Ni Pu
1 1 1 1
Direct
0.2500 0.2500 0.2500
0.5000 0.5000 0.5000
0.7500 0.7500 0.7500
0.0000 0.0000 0.0000
```

=====

First-principles (PBE) data for a geometry-optimized Er5In3Bi12 structure, as listed in Alexandria.

size of the total moment	0.00	Bohr magnetons per cell
symmetry	Ia-3d (230)
energy of formation from the pure elements	0.0503	eV per atom

Geometry as POSCAR:
```
Er5In3Bi12
1.0
15.8712 0.0000 0.0000
-5.2904 14.9635 0.0000
-5.2904 -7.4818 12.9588
Er Bi In
20 48 12
Direct
0.0000 0.0000 0.0000
0.7500 0.6250 0.3750
0.0000 0.5000 0.5000
0.1250 0.3750 0.2500
0.6250 0.7500 0.8750
0.3750 0.2500 0.1250
0.3750 0.1250 0.7500
0.7500 0.1250 0.8750
0.5000 0.5000 0.5000
0.8750 0.6250 0.7500
0.1250 0.7500 0.3750
0.0000 0.0000 0.5000
0.2500 0.8750 0.1250
0.5000 0.5000 0.0000
0.2500 0.3750 0.6250
0.5000 0.0000 0.5000
0.8750 0.2500 0.6250
0.6250 0.8750 0.2500
0.0000 0.5000 0.0000
0.5000 0.0000 0.0000
0.5552 0.2311 0.1051
0.7689 0.3241 0.8740
0.4448 0.6759 0.0499
0.4501 0.0552 0.3241
0.1759 0.1260 0.7311
0.6759 0.2311 0.6260
0.1260 0.1759 0.2311
0.2311 0.6759 0.1260
0.9501 0.8241 0.5552
0.6759 0.4448 0.5499
0.9448 0.3949 0.2689
0.0552 0.4501 0.8241
0.0499 0.8740 0.1051
0.1759 0.0499 0.9448
0.5499 0.9448 0.6759
0.8949 0.6260 0.9501
0.6260 0.8949 0.4501
0.4448 0.7689 0.8949
0.7689 0.4448 0.3949
0.3241 0.5552 0.4501
0.7311 0.6260 0.1759
0.3740 0.2689 0.3241
0.3949 0.4501 0.1260
0.9448 0.5499 0.1759
0.0499 0.1759 0.4448
0.8949 0.2689 0.4448
0.4501 0.3949 0.6260
0.6051 0.5499 0.8740
0.8740 0.0499 0.6051
0.0552 0.6051 0.7311
0.8241 0.9501 0.0552
0.8740 0.8241 0.7689
0.2311 0.5552 0.6051
0.1260 0.9501 0.3949
0.8241 0.8740 0.2689
0.9501 0.1260 0.8949
0.5552 0.3241 0.9501
0.3740 0.1051 0.5499
0.2689 0.8949 0.9448
0.6260 0.7311 0.6759
0.6051 0.0552 0.2311
0.7311 0.1051 0.0552
0.2689 0.3740 0.8241
0.5499 0.6051 0.3740
0.3949 0.9448 0.7689
0.3241 0.7689 0.3740
0.1051 0.7311 0.5552
0.1051 0.3740 0.0499
0.6250 0.2500 0.3750
0.7500 0.8750 0.6250
0.7500 0.3750 0.1250
0.2500 0.1250 0.3750
0.2500 0.6250 0.8750
0.1250 0.2500 0.8750
0.3750 0.7500 0.6250
0.8750 0.7500 0.1250
0.8750 0.1250 0.2500
0.6250 0.3750 0.7500
0.1250 0.8750 0.7500
0.3750 0.6250 0.2500
```

=====

First-principles (PBE) data for a geometry-optimized HoAlCo structure, as listed in Alexandria.

size of the total moment	0.31	Bohr magnetons per cell
symmetry	I4mm (107)
energy of formation from the pure elements	-0.3051	eV per atom

Geometry as POSCAR:
```
HoAlCo
1.0
3.1161 0.0000 0.0000
0.0000 3.1161 0.0000
-1.5581 -1.5581 5.4060
Co Ho Al
1 1 1
Direct
0.6869 0.6869 0.3739
0.0157 0.0157 0.0314
0.2974 0.2974 0.5947
```